No. 1
First-principles (PBE) data for a relaxed structure of YZr2Br, as listed in Alexandria.

Cell: 7.336 7.336 7.336 Å, 90.00 90.00 90.00°
Space group F-43m (No. 216)
Asymmetric unit:
Y1 0.000 0.000 0.000 x4
Zr1 0.000 0.000 0.500 x4
Zr2 0.250 0.250 0.250 x4
Br1 0.250 0.250 0.750 x4

Properties
Calculated total energy, eV per atom: -5.994
Formation energy (no corrections), kJ/mol of formula units: 121
E above lowest polymorph, meV/atom: 633.7

No. 2
First-principles (PBE) data for a relaxed structure of Tb3NdEr3, as listed in Alexandria.

Cell: 15.182 14.913 8.258 Å, 90.00 90.80 90.00°
Space group Cm (No. 8)
Asymmetric unit:
Tb1 0.000 0.000 0.000 x2
Tb2 0.090 0.121 0.299 x4
Tb3 0.119 0.383 0.236 x4
Tb4 0.252 0.252 0.507 x4
Tb5 0.266 0.000 0.464 x2
Tb6 0.363 0.110 0.786 x4
Tb7 0.477 0.284 0.963 x4
Nd1 0.095 0.380 0.802 x4
Nd2 0.276 0.500 0.925 x2
Nd3 0.430 0.500 0.591 x2
Er1 0.127 0.116 0.719 x4
Er2 0.221 0.000 0.041 x2
Er3 0.229 0.239 0.025 x4
Er4 0.360 0.383 0.251 x4
Er5 0.394 0.121 0.201 x4
Er6 0.481 0.239 0.522 x4
Er7 0.486 0.000 0.503 x2

Properties
Calculated total energy, eV per atom: -4.437
Formation energy from the elements, eV/f.u.: 1.3
E above lowest polymorph, meV/atom: 0.0

No. 3
First-principles (PBE) data for a relaxed structure of La3Ta, as listed in Alexandria.

Cell: 4.889 4.889 9.792 Å, 90.00 90.00 90.00°
Space group I4/mmm (No. 139)
Asymmetric unit:
La1 0.000 0.000 0.000 x2
La2 0.000 0.500 0.250 x4
Ta1 0.000 0.000 0.500 x2

Properties
Calculated total energy, eV per atom: -6.233
Formation energy from the elements, eV/f.u.: 1.7

No. 4
First-principles (PBE) data for a relaxed structure of ZnCuPtO4, as listed in Alexandria.

Cell: 5.742 6.140 9.207 Å, 90.00 90.00 90.00°
Space group Imma (No. 74)
Asymmetric unit:
Zn1 0.000 0.250 0.162 x4
Cu1 0.250 0.250 0.750 x4
Pt1 0.000 0.000 0.500 x4
O1 0.000 0.030 0.721 x8
O2 0.234 0.250 0.482 x8

Properties
Calculated total energy, eV per atom: -5.231
Formation energy (no corrections), kJ/mol of formula units: -518

No. 5
First-principles (PBE) data for a relaxed structure of BaIn2CoBi, as listed in Alexandria.

Cell: 5.081 5.081 5.463 Å, 90.00 90.00 90.00°
Space group P4/mmm (No. 123)
Asymmetric unit:
Ba1 0.000 0.000 0.000 x1
In1 0.000 0.500 0.500 x2
Co1 0.500 0.500 0.500 x1
Bi1 0.500 0.500 0.000 x1

Properties
Calculated total energy, eV per atom: -3.849
Formation energy from the elements, eV/f.u.: -0.9

No. 6
First-principles (PBE) data for a relaxed structure of SrLiAlRu2, as listed in Alexandria.

Cell: 4.629 4.629 5.582 Å, 90.00 90.00 90.00°
Space group P4/mmm (No. 123)
Asymmetric unit:
Sr1 0.000 0.000 0.000 x1
Li1 0.500 0.500 0.000 x1
Al1 0.000 0.000 0.500 x1
Ru1 0.000 0.500 0.500 x2

Properties
Calculated total energy, eV per atom: -4.377
Formation energy from the elements, eV/f.u.: 4.0

Among the records above, which one has the lowest calculated total energy? La3Ta